# 1
# AlHgAu2 (PBE-GGA, optimized geometry)
# energy above the most stable polymorph in this dataset = 196 meV/atom
# E_form = 22 meV per atom
# calculated volume = 19.4 A^3/atom
data_AlHgAu2
_chemical_formula_sum 'Al2 Hg2 Au4'
_cell_length_a 5.838
_cell_length_b 9.571
_cell_length_c 3.200
_cell_angle_alpha 90.00
_cell_angle_beta 120.03
_cell_angle_gamma 90.00
_space_group_name_H-M_alt 'C 1 2/m 1'
_space_group_IT_number 12
_space_group_name_Hall '-C 2y'
loop_
_atom_site_label
_atom_site_type_symbol
_atom_site_fract_x
_atom_site_fract_y
_atom_site_fract_z
_atom_site_occupancy
Al1 Al 0.000 0.000 0.000 1
Hg1 Hg 0.000 0.500 0.000 1
Au1 Au 0.250 0.250 0.000 1


# 2
# Al2HgAu (PBE-GGA, optimized geometry)
# energy above the most stable polymorph in this dataset = 62 meV/atom
# E_form = -49 meV per atom
# calculated volume = 19.9 A^3/atom
data_Al2HgAu
_chemical_formula_sum 'Al4 Hg2 Au2'
_cell_length_a 3.047
_cell_length_b 4.143
_cell_length_c 12.600
_cell_angle_alpha 90.00
_cell_angle_beta 90.00
_cell_angle_gamma 90.00
_space_group_name_H-M_alt 'I m m 2'
_space_group_IT_number 44
_space_group_name_Hall 'I 2 -2'
loop_
_atom_site_label
_atom_site_type_symbol
_atom_site_fract_x
_atom_site_fract_y
_atom_site_fract_z
_atom_site_occupancy
Al1 Al 0.000 0.000 0.000 1
Al2 Al 0.000 0.500 0.234 1
Hg1 Hg 0.000 0.000 0.404 1
Au1 Au 0.000 0.500 0.672 1


# 3
# AlHg2Au (PBE-GGA, optimized geometry)
# E_form = 152 meV per atom
# calculated volume = 21.6 A^3/atom
data_AlHg2Au
_chemical_formula_sum 'Al4 Hg8 Au4'
_cell_length_a 7.020
_cell_length_b 7.020
_cell_length_c 7.020
_cell_angle_alpha 90.00
_cell_angle_beta 90.00
_cell_angle_gamma 90.00
_space_group_name_H-M_alt 'F -4 3 m'
_space_group_IT_number 216
_space_group_name_Hall 'F -4 2 3'
loop_
_atom_site_label
_atom_site_type_symbol
_atom_site_fract_x
_atom_site_fract_y
_atom_site_fract_z
_atom_site_occupancy
Al1 Al 0.000 0.000 0.000 1
Hg1 Hg 0.000 0.000 0.500 1
Hg2 Hg 0.250 0.250 0.750 1
Au1 Au 0.250 0.250 0.250 1


# 4
# AlHg2Au (PBE-GGA, optimized geometry)
# E_form = 96 meV per atom
# calculated volume = 21.4 A^3/atom
data_AlHg2Au
_chemical_formula_sum 'Al1 Hg2 Au1'
_cell_length_a 3.958
_cell_length_b 3.958
_cell_length_c 5.462
_cell_angle_alpha 90.00
_cell_angle_beta 90.00
_cell_angle_gamma 90.00
_space_group_name_H-M_alt 'P 4/m m m'
_space_group_IT_number 123
_space_group_name_Hall '-P 4 2'
loop_
_atom_site_label
_atom_site_type_symbol
_atom_site_fract_x
_atom_site_fract_y
_atom_site_fract_z
_atom_site_occupancy
Al1 Al 0.000 0.000 0.000 1
Hg1 Hg 0.500 0.500 0.250 1
Au1 Au 0.000 0.000 0.500 1